--- i ---
A plane-wave DFT calculation with GGA-PBEsol was carried out for a relaxed structure of Tl2OsPt.

Spin magnetization: 0.0 Bohr magnetons per cell
Theoretical density: 17.93 g cm⁻³

```
data_Tl2OsPt
_chemical_formula_sum 'Tl2 Os1 Pt1'
_cell_length_a 5.394
_cell_length_b 5.394
_cell_length_c 5.394
_cell_angle_alpha 145.31
_cell_angle_beta 123.35
_cell_angle_gamma 68.16
_symmetry_space_group_name_H-M 'P 1'
_symmetry_Int_Tables_number 1
loop_
_symmetry_equiv_pos_as_xyz
'x,y,z'
loop_
_atom_site_label
_atom_site_fract_x
_atom_site_fract_y
_atom_site_fract_z
Tl1 0.249 0.249 0.000
Tl2 0.751 0.751 0.000
Os1 0.500 0.000 0.500
Pt1 0.000 0.500 0.500
```

=====

--- ii ---
A plane-wave DFT calculation with GGA-PBEsol was carried out for a relaxed structure of Tl2OsPt.

Spin magnetization: 0.0 Bohr magnetons per cell
Theoretical density: 17.88 g cm⁻³

```
data_Tl2OsPt
_chemical_formula_sum 'Tl2 Os1 Pt1'
_cell_length_a 3.031
_cell_length_b 3.031
_cell_length_c 9.062
_cell_angle_alpha 90.00
_cell_angle_beta 90.00
_cell_angle_gamma 117.69
_symmetry_space_group_name_H-M 'P 1'
_symmetry_Int_Tables_number 1
loop_
_symmetry_equiv_pos_as_xyz
'x,y,z'
loop_
_atom_site_label
_atom_site_fract_x
_atom_site_fract_y
_atom_site_fract_z
Tl1 0.000 0.000 0.250
Tl2 0.000 0.000 0.750
Os1 0.500 0.500 0.000
Pt1 0.500 0.500 0.500
```

=====

What are the relative energies? In meV/atom: i 32; ii 0.

=====

--- i ---
A plane-wave DFT calculation with GGA-PBEsol was carried out for a relaxed structure of TlOsPt2.

Spin magnetization: 0.0 Bohr magnetons per cell
Theoretical density: 19.50 g cm⁻³

```
data_TlOsPt2
_chemical_formula_sum 'Tl1 Os1 Pt2'
_cell_length_a 2.829
_cell_length_b 2.829
_cell_length_c 9.648
_cell_angle_alpha 90.00
_cell_angle_beta 90.00
_cell_angle_gamma 120.07
_symmetry_space_group_name_H-M 'P 1'
_symmetry_Int_Tables_number 1
loop_
_symmetry_equiv_pos_as_xyz
'x,y,z'
loop_
_atom_site_label
_atom_site_fract_x
_atom_site_fract_y
_atom_site_fract_z
Tl1 0.000 0.000 0.000
Os1 0.000 0.000 0.500
Pt1 0.500 0.500 0.266
Pt2 0.500 0.500 0.734
```

=====

--- ii ---
A plane-wave DFT calculation with GGA-PBEsol was carried out for a relaxed structure of TlOsPt2.

Spin magnetization: 0.0 Bohr magnetons per cell
Theoretical density: 19.93 g cm⁻³

```
data_TlOsPt2
_chemical_formula_sum 'Tl1 Os1 Pt2'
_cell_length_a 4.766
_cell_length_b 4.766
_cell_length_c 5.138
_cell_angle_alpha 99.95
_cell_angle_beta 99.95
_cell_angle_gamma 34.73
_symmetry_space_group_name_H-M 'P 1'
_symmetry_Int_Tables_number 1
loop_
_symmetry_equiv_pos_as_xyz
'x,y,z'
loop_
_atom_site_label
_atom_site_fract_x
_atom_site_fract_y
_atom_site_fract_z
Tl1 0.000 0.000 0.000
Os1 0.748 0.748 0.298
Pt1 0.247 0.247 0.744
Pt2 0.492 0.492 0.490
```

=====

--- iii ---
A plane-wave DFT calculation with GGA-PBEsol was carried out for a relaxed structure of TlOsPt2.

Spin magnetization: 0.0 Bohr magnetons per cell
Theoretical density: 19.61 g cm⁻³

```
data_TlOsPt2
_chemical_formula_sum 'Tl1 Os1 Pt2'
_cell_length_a 2.833
_cell_length_b 2.833
_cell_length_c 9.587
_cell_angle_alpha 90.00
_cell_angle_beta 90.00
_cell_angle_gamma 120.27
_symmetry_space_group_name_H-M 'P 1'
_symmetry_Int_Tables_number 1
loop_
_symmetry_equiv_pos_as_xyz
'x,y,z'
loop_
_atom_site_label
_atom_site_fract_x
_atom_site_fract_y
_atom_site_fract_z
Tl1 0.000 0.000 0.000
Os1 0.500 0.500 0.264
Pt1 0.000 0.000 0.494
Pt2 0.500 0.500 0.738
```

=====

--- iv ---
A plane-wave DFT calculation with GGA-PBEsol was carried out for a relaxed structure of TlOsPt2.

Spin magnetization: 1.3 Bohr magnetons per cell
Theoretical density: 19.79 g cm⁻³

```
data_TlOsPt2
_chemical_formula_sum 'Tl1 Os1 Pt2'
_cell_length_a 4.533
_cell_length_b 4.533
_cell_length_c 4.533
_cell_angle_alpha 60.00
_cell_angle_beta 60.00
_cell_angle_gamma 60.00
_symmetry_space_group_name_H-M 'P 1'
_symmetry_Int_Tables_number 1
loop_
_symmetry_equiv_pos_as_xyz
'x,y,z'
loop_
_atom_site_label
_atom_site_fract_x
_atom_site_fract_y
_atom_site_fract_z
Tl1 0.000 0.000 0.000
Os1 0.500 0.500 0.500
Pt1 0.250 0.250 0.250
Pt2 0.750 0.750 0.750
```

=====

What are the relative energies? In meV/atom: i 146; ii 0; iii 219; iv 254.

=====

--- i ---
A plane-wave DFT calculation with GGA-PBEsol was carried out for a relaxed structure of TlOsPt2.

Spin magnetization: 0.0 Bohr magnetons per cell
Theoretical density: 19.84 g cm⁻³

```
data_TlOsPt2
_chemical_formula_sum 'Tl1 Os1 Pt2'
_cell_length_a 5.612
_cell_length_b 5.612
_cell_length_c 5.612
_cell_angle_alpha 151.41
_cell_angle_beta 128.50
_cell_angle_gamma 59.96
_symmetry_space_group_name_H-M 'P 1'
_symmetry_Int_Tables_number 1
loop_
_symmetry_equiv_pos_as_xyz
'x,y,z'
loop_
_atom_site_label
_atom_site_fract_x
_atom_site_fract_y
_atom_site_fract_z
Tl1 0.000 0.000 0.000
Os1 0.258 0.758 0.500
Pt1 0.488 0.488 0.000
Pt2 0.740 0.240 0.500
```

=====

--- ii ---
A plane-wave DFT calculation with GGA-PBEsol was carried out for a relaxed structure of TlOsPt2.

Spin magnetization: 0.0 Bohr magnetons per cell
Theoretical density: 20.18 g cm⁻³

```
data_TlOsPt2
_chemical_formula_sum 'Tl1 Os1 Pt2'
_cell_length_a 4.868
_cell_length_b 4.868
_cell_length_c 4.868
_cell_angle_alpha 130.83
_cell_angle_beta 130.83
_cell_angle_gamma 72.08
_symmetry_space_group_name_H-M 'P 1'
_symmetry_Int_Tables_number 1
loop_
_symmetry_equiv_pos_as_xyz
'x,y,z'
loop_
_atom_site_label
_atom_site_fract_x
_atom_site_fract_y
_atom_site_fract_z
Tl1 0.000 0.000 0.000
Os1 0.500 0.500 0.000
Pt1 0.250 0.750 0.500
Pt2 0.750 0.250 0.500
```

=====

What are the relative energies? In meV/atom: i 0; ii 56.

=====

--- i ---
A plane-wave DFT calculation with GGA-PBEsol was carried out for a relaxed structure of OsPt2W.

Spin magnetization: 0.0 Bohr magnetons per cell
Theoretical density: 20.99 g cm⁻³

```
data_OsPt2W
_chemical_formula_sum 'Os1 Pt2 W1'
_cell_length_a 4.405
_cell_length_b 4.405
_cell_length_c 4.405
_cell_angle_alpha 60.00
_cell_angle_beta 60.00
_cell_angle_gamma 60.00
_symmetry_space_group_name_H-M 'P 1'
_symmetry_Int_Tables_number 1
loop_
_symmetry_equiv_pos_as_xyz
'x,y,z'
loop_
_atom_site_label
_atom_site_fract_x
_atom_site_fract_y
_atom_site_fract_z
Os1 0.000 0.000 0.000
Pt1 0.250 0.250 0.250
Pt2 0.750 0.750 0.750
W1 0.500 0.500 0.500
```

=====

--- ii ---
A plane-wave DFT calculation with GGA-PBEsol was carried out for a relaxed structure of OsPt2W.

Spin magnetization: 0.0 Bohr magnetons per cell
Theoretical density: 21.02 g cm⁻³

```
data_OsPt2W
_chemical_formula_sum 'Os1 Pt2 W1'
_cell_length_a 4.404
_cell_length_b 4.404
_cell_length_c 4.404
_cell_angle_alpha 60.00
_cell_angle_beta 60.00
_cell_angle_gamma 60.00
_symmetry_space_group_name_H-M 'P 1'
_symmetry_Int_Tables_number 1
loop_
_symmetry_equiv_pos_as_xyz
'x,y,z'
loop_
_atom_site_label
_atom_site_fract_x
_atom_site_fract_y
_atom_site_fract_z
Os1 0.000 0.000 0.000
Pt1 0.500 0.500 0.500
Pt2 0.750 0.750 0.750
W1 0.250 0.250 0.250
```

=====

What are the relative energies? In meV/atom: i 179; ii 0.

=====

--- i ---
A plane-wave DFT calculation with GGA-PBEsol was carried out for a relaxed structure of OsPtW2.

Spin magnetization: 0.0 Bohr magnetons per cell
Theoretical density: 20.96 g cm⁻³

```
data_OsPtW2
_chemical_formula_sum 'Os1 Pt1 W2'
_cell_length_a 2.772
_cell_length_b 4.461
_cell_length_c 4.825
_cell_angle_alpha 90.00
_cell_angle_beta 90.00
_cell_angle_gamma 90.00
_symmetry_space_group_name_H-M 'P 1'
_symmetry_Int_Tables_number 1
loop_
_symmetry_equiv_pos_as_xyz
'x,y,z'
loop_
_atom_site_label
_atom_site_fract_x
_atom_site_fract_y
_atom_site_fract_z
Os1 0.000 0.000 0.000
Pt1 0.000 0.500 0.651
W1 0.500 0.000 0.495
W2 0.500 0.500 0.153
```

=====

--- ii ---
A plane-wave DFT calculation with GGA-PBEsol was carried out for a relaxed structure of OsPtW2.

Spin magnetization: 0.0 Bohr magnetons per cell
Theoretical density: 21.02 g cm⁻³

```
data_OsPtW2
_chemical_formula_sum 'Os1 Pt1 W2'
_cell_length_a 3.896
_cell_length_b 3.896
_cell_length_c 3.919
_cell_angle_alpha 90.00
_cell_angle_beta 90.00
_cell_angle_gamma 90.00
_symmetry_space_group_name_H-M 'P 1'
_symmetry_Int_Tables_number 1
loop_
_symmetry_equiv_pos_as_xyz
'x,y,z'
loop_
_atom_site_label
_atom_site_fract_x
_atom_site_fract_y
_atom_site_fract_z
Os1 0.000 0.000 0.000
Pt1 0.500 0.500 0.000
W1 0.000 0.500 0.500
W2 0.500 0.000 0.500
```

=====

--- iii ---
A plane-wave DFT calculation with GGA-PBEsol was carried out for a relaxed structure of OsPtW2.

Spin magnetization: 0.0 Bohr magnetons per cell
Theoretical density: 20.89 g cm⁻³

```
data_OsPtW2
_chemical_formula_sum 'Os1 Pt1 W2'
_cell_length_a 2.760
_cell_length_b 3.931
_cell_length_c 5.518
_cell_angle_alpha 90.00
_cell_angle_beta 90.00
_cell_angle_gamma 90.00
_symmetry_space_group_name_H-M 'P 1'
_symmetry_Int_Tables_number 1
loop_
_symmetry_equiv_pos_as_xyz
'x,y,z'
loop_
_atom_site_label
_atom_site_fract_x
_atom_site_fract_y
_atom_site_fract_z
Os1 0.000 0.000 0.000
Pt1 0.000 0.000 0.500
W1 0.500 0.500 0.238
W2 0.500 0.500 0.762
```

=====

What are the relative energies? In meV/atom: i 32; ii 0; iii 25.

=====

--- i ---
A plane-wave DFT calculation with GGA-PBEsol was carried out for a relaxed structure of OsPtW2.

Spin magnetization: 0.0 Bohr magnetons per cell
Theoretical density: 21.01 g cm⁻³

```
data_OsPtW2
_chemical_formula_sum 'Os1 Pt1 W2'
_cell_length_a 4.782
_cell_length_b 4.782
_cell_length_c 4.782
_cell_angle_alpha 131.82
_cell_angle_beta 131.82
_cell_angle_gamma 70.51
_symmetry_space_group_name_H-M 'P 1'
_symmetry_Int_Tables_number 1
loop_
_symmetry_equiv_pos_as_xyz
'x,y,z'
loop_
_atom_site_label
_atom_site_fract_x
_atom_site_fract_y
_atom_site_fract_z
Os1 0.000 0.000 0.000
Pt1 0.500 0.500 0.000
W1 0.250 0.750 0.500
W2 0.750 0.250 0.500
```

=====

--- ii ---
A plane-wave DFT calculation with GGA-PBEsol was carried out for a relaxed structure of OsPtW2.

Spin magnetization: 0.0 Bohr magnetons per cell
Theoretical density: 20.99 g cm⁻³

```
data_OsPtW2
_chemical_formula_sum 'Os1 Pt1 W2'
_cell_length_a 4.801
_cell_length_b 4.801
_cell_length_c 2.752
_cell_angle_alpha 90.00
_cell_angle_beta 90.00
_cell_angle_gamma 110.13
_symmetry_space_group_name_H-M 'P 1'
_symmetry_Int_Tables_number 1
loop_
_symmetry_equiv_pos_as_xyz
'x,y,z'
loop_
_atom_site_label
_atom_site_fract_x
_atom_site_fract_y
_atom_site_fract_z
Os1 0.000 0.000 0.000
Pt1 0.500 0.500 0.000
W1 0.000 0.500 0.500
W2 0.500 0.000 0.500
```

=====

What are the relative energies? In meV/atom: i 0; ii 40.